{"formula": "Ce2ThNi", "functional": "PBE", "state": "relaxed", "polymorph_energy_kcal_per_mol_atoms": 3.85, "vol_a3_per_cell": 105, "formation_energy_mev_per_atom": -2.8, "crystal_system": "trigonal", "lattice": [[-2.7395, 1.7801, 1.5354], [-2.1054, -1.6630, 2.4151], [4.0337, 2.8283, 8.1615]], "species": ["Ce", "Th", "Ce", "Ni"], "fractional_positions": [[0.2686, 0.2686, 0.1942], [0.4994, 0.4994, 0.5017], [0.0643, 0.0643, 0.8071], [0.6677, 0.6677, 0.9970]]}

***

{"formula": "CdSn2Se", "functional": "PBE", "state": "relaxed", "formation_energy_uncorrected_ev_per_fu": 0.073, "polymorph_energy_kcal_per_mol_atoms": 0.05, "vol_a3_per_cell": 277, "crystal_system": "tetragonal", "lattice": [[6.5030, 0.0000, 0.0000], [0.0000, 6.5030, 0.0000], [3.2515, 3.2515, 6.5576]], "species": ["Se", "Sn", "Cd", "Se", "Sn", "Cd", "Sn", "Sn"], "fractional_positions": [[0.2500, 0.7500, 0.5000], [0.3750, 0.3750, 0.7500], [0.7500, 0.2500, 0.5000], [0.5000, 0.5000, 0.0000], [0.1250, 0.6250, 0.2500], [0.0000, 0.0000, 0.0000], [0.6250, 0.1250, 0.2500], [0.8750, 0.8750, 0.7500]]}

***

{"formula": "HoNpTe2", "functional": "PBE", "state": "relaxed", "formation_energy_uncorrected_ev_per_fu": -1.567, "polymorph_energy_kcal_per_mol_atoms": 9.91, "vol_a3_per_cell": 146, "crystal_system": "trigonal", "lattice": [[4.1492, 0.0000, 0.0000], [2.0746, 3.5933, 0.0000], [2.0746, 1.1978, 9.8255]], "species": ["Te", "Ho", "Np", "Te"], "fractional_positions": [[0.1009, 0.1009, 0.6974], [0.0000, 0.0000, 0.0000], [0.5000, 0.5000, 0.5000], [0.8991, 0.8991, 0.3026]]}

***

{"formula": "Na3HgPd", "functional": "PBE", "state": "relaxed", "polymorph_energy_kcal_per_mol_atoms": 11.77, "vol_a3_per_cell": 169, "formation_energy_mev_per_atom": 362.7, "crystal_system": "cubic", "lattice": [[-4.0104, -2.8908, 2.4633], [0.0630, -3.6326, -4.1604], [3.7974, -2.9927, 2.6705]], "species": ["Na", "Hg", "Pd", "Na", "Na"], "fractional_positions": [[0.0000, 0.0000, 0.5000], [0.0000, 0.0000, 0.0000], [0.5000, 0.5000, 0.5000], [0.0000, 0.5000, 0.0000], [0.5000, 0.0000, 0.0000]]}

***

{"formula": "PrSmOs4", "functional": "PBE", "state": "relaxed", "vol_a3_per_cell": 114, "formation_energy_mev_per_atom": -87.7, "crystal_system": "cubic", "lattice": [[-1.7008, -5.1647, -0.0542], [2.6930, -3.7190, -2.9133], [2.9045, -3.8456, 2.5190]], "species": ["Pr", "Os", "Sm", "Os", "Os", "Os"], "fractional_positions": [[0.2500, 0.2500, 0.2500], [0.6251, 0.1246, 0.6251], [0.0000, 0.0000, 0.0000], [0.6251, 0.6251, 0.1246], [0.1246, 0.6251, 0.6251], [0.6251, 0.6251, 0.6251]]}

***

{"formula": "La2Tc", "functional": "PBE", "state": "relaxed", "polymorph_energy_kcal_per_mol_atoms": 0.93, "vol_a3_per_cell": 165, "formation_energy_mev_per_atom": 74.8, "crystal_system": "tetragonal", "lattice": [[0.7303, -0.6775, 5.9040], [4.5116, 2.9569, -2.5984], [-4.9982, 3.1816, -0.8629]], "species": ["La", "La", "Tc", "Tc", "La", "La"], "fractional_positions": [[0.8105, 0.3105, 0.1209], [0.6895, 0.8105, 0.5000], [0.7500, 0.7500, 0.0000], [0.2500, 0.2500, 0.0000], [0.1895, 0.6895, 0.8791], [0.3105, 0.1895, 0.5000]]}

***

{"formula": "GdPuIn", "functional": "PBE", "state": "relaxed", "polymorph_energy_kcal_per_mol_atoms": 0.53, "vol_a3_per_cell": 81, "formation_energy_mev_per_atom": -102.7, "crystal_system": "trigonal", "lattice": [[3.2705, 0.0000, 0.0000], [0.0000, 5.3337, 0.0000], [0.0000, -2.6668, 4.6191]], "species": ["In", "Pu", "Gd"], "fractional_positions": [[0.0020, 0.0000, 0.0000], [0.3246, 0.6667, 0.3333], [0.6733, 0.3333, 0.6667]]}

***

{"formula": "Co3SiH", "functional": "PBE", "state": "relaxed", "polymorph_energy_kcal_per_mol_atoms": 5.01, "vol_a3_per_cell": 97, "crystal_system": "monoclinic", "lattice": [[12.4884, 0.0000, -1.4849], [4.9035, 1.8119, -2.7274], [-4.9035, 1.8119, 2.7274]], "species": ["Co", "H", "Co", "Si", "Co", "Co", "Si", "H", "Co", "Co"], "fractional_positions": [[0.3192, 0.8848, 0.1152], [0.9861, 0.8899, 0.1101], [0.7444, 0.2739, 0.7261], [0.4913, 0.8967, 0.1033], [0.6808, 0.1152, 0.8848], [0.9865, 0.4012, 0.5988], [0.5087, 0.1033, 0.8967], [0.0139, 0.1101, 0.8899], [0.0135, 0.5988, 0.4012], [0.2556, 0.7261, 0.2739]]}

***

{"formula": "PrNd3Tm2S6", "functional": "PBE", "state": "relaxed", "formation_energy_uncorrected_ev_per_fu": -23.942, "vol_a3_per_cell": 272, "crystal_system": "monoclinic", "lattice": [[-1.8596, 0.9400, 6.5914], [5.2637, -4.2033, -1.5540], [3.0398, 6.1536, -1.2273]], "species": ["Tm", "S", "S", "S", "S", "Pr", "Nd", "Nd", "S", "Tm", "S", "Nd"], "fractional_positions": [[0.3340, 0.6660, 0.0000], [0.9210, 0.5725, 0.7621], [0.0790, 0.4275, 0.2379], [0.4275, 0.0790, 0.2379], [0.7294, 0.7294, 0.2323], [0.0000, 0.0000, 0.0000], [0.8402, 0.1598, 0.5000], [0.1598, 0.8402, 0.5000], [0.2706, 0.2706, 0.7677], [0.6660, 0.3340, 0.0000], [0.5725, 0.9210, 0.7621], [0.5000, 0.5000, 0.5000]]}

***

{"formula": "BeP2Os", "functional": "PBE", "state": "relaxed", "vol_a3_per_cell": 53, "formation_energy_mev_per_atom": 464.5, "crystal_system": "orthorhombic", "lattice": [[-1.7256, 1.4470, 1.8304], [-0.9736, -0.8608, -2.5948], [-2.2036, -6.3305, 2.9270]], "species": ["Os", "P", "P", "Be"], "fractional_positions": [[0.5000, 0.5000, 0.7500], [0.0000, 0.0000, 0.4833], [0.0000, 0.0000, 0.0167], [0.5000, 0.5000, 0.2500]]}

***

{"formula": "AcPmSi2Pd2", "functional": "PBE", "state": "relaxed", "formation_energy_uncorrected_ev_per_fu": -5.329, "vol_a3_per_cell": 136, "crystal_system": "trigonal", "lattice": [[-0.5796, 0.3291, -4.2161], [3.6273, -1.6462, 1.5336], [-3.5187, -7.8755, -0.1310]], "species": ["Si", "Pd", "Si", "Ac", "Pm", "Pd"], "fractional_positions": [[0.6667, 0.3333, 0.7350], [0.6667, 0.3333, 0.2652], [0.3333, 0.6667, 0.2650], [0.0000, 0.0000, 0.0000], [0.0000, 0.0000, 0.5000], [0.3333, 0.6667, 0.7348]]}

***

{"formula": "Pm2MgGa6", "functional": "PBE", "state": "relaxed", "polymorph_energy_kcal_per_mol_atoms": 0.00, "vol_a3_per_cell": 185, "formation_energy_mev_per_atom": -515.6, "crystal_system": "trigonal", "lattice": [[5.7603, -0.0009, 0.0019], [0.0018, 5.2684, -3.0379], [-0.0018, -0.0031, 6.0819]], "species": ["Ga", "Ga", "Mg", "Pm", "Ga", "Pm", "Ga", "Ga", "Ga"], "fractional_positions": [[0.3407, 0.8155, 0.6309], [0.3408, 0.8156, 0.1845], [0.0000, 0.0000, 0.0000], [0.8506, 0.6666, 0.3333], [0.6592, 0.6312, 0.8155], [0.1494, 0.3334, 0.6667], [0.3408, 0.3688, 0.1845], [0.6592, 0.1844, 0.8155], [0.6593, 0.1845, 0.3691]]}

***

{"formula": "CdInW2", "functional": "PBE", "state": "relaxed", "polymorph_energy_kcal_per_mol_atoms": 12.25, "vol_a3_per_cell": 73, "formation_energy_mev_per_atom": 955.7, "crystal_system": "tetragonal", "lattice": [[5.0387, 0.0000, 0.0000], [0.0000, 5.0387, 0.0000], [0.0000, 0.0000, 2.8648]], "species": ["W", "W", "Cd", "In"], "fractional_positions": [[0.5000, 0.5000, 0.0000], [0.0000, 0.0000, 0.0000], [0.5000, 0.0000, 0.5000], [0.0000, 0.5000, 0.5000]]}

***

{"formula": "Co2CuNi", "functional": "PBE", "state": "relaxed", "polymorph_energy_kcal_per_mol_atoms": 2.91, "vol_a3_per_cell": 45, "formation_energy_mev_per_atom": 146.5, "crystal_system": "cubic", "lattice": [[-3.6719, -0.4169, 1.5214], [-1.4022, -3.6405, 0.8670], [-0.4700, -1.1047, 3.8118]], "species": ["Co", "Cu", "Co", "Ni"], "fractional_positions": [[0.0000, 0.0000, 0.0000], [0.5000, 0.5000, 0.5000], [0.2500, 0.2500, 0.2500], [0.7500, 0.7500, 0.7500]]}

***

{"formula": "CoAuSe2", "functional": "PBE", "state": "relaxed", "formation_energy_uncorrected_ev_per_fu": 0.125, "vol_a3_per_cell": 87, "crystal_system": "trigonal", "lattice": [[-5.6119, 3.8053, 0.7043], [-6.4892, 0.2135, 2.0770], [-4.4848, 2.7519, 4.3340]], "species": ["Se", "Se", "Co", "Au"], "fractional_positions": [[0.1092, 0.1092, 0.1092], [0.6390, 0.6390, 0.6390], [0.9939, 0.9939, 0.9939], [0.5090, 0.5090, 0.5090]]}

***

{"formula": "LiNiCl", "functional": "PBE", "state": "relaxed", "formation_energy_uncorrected_ev_per_fu": -1.527, "polymorph_energy_kcal_per_mol_atoms": 4.98, "vol_a3_per_cell": 107, "crystal_system": "triclinic", "lattice": [[-0.2232, -3.3909, -2.2372], [2.2280, -1.0188, 3.2224], [-6.6488, 0.5692, 2.7798]], "species": ["Cl", "Cl", "Li", "Ni", "Ni", "Li"], "fractional_positions": [[0.1285, 0.0092, 0.6236], [0.3063, 0.6586, 0.1605], [0.4108, 0.2704, 0.3711], [0.0244, 0.5020, 0.6736], [0.6209, 0.9042, 0.6732], [0.6879, 0.5528, 0.9507]]}

***

{"formula": "Co2SeBr", "functional": "PBE", "state": "relaxed", "formation_energy_uncorrected_ev_per_fu": 0.446, "polymorph_energy_kcal_per_mol_atoms": 4.00, "vol_a3_per_cell": 78, "crystal_system": "tetragonal", "lattice": [[-2.6339, 0.5376, 1.8916], [0.8750, -2.5109, 1.9324], [3.8550, 4.4920, 4.0912]], "species": ["Co", "Co", "Br", "Se"], "fractional_positions": [[0.0000, 0.0000, 0.0443], [0.5000, 0.5000, 0.2249], [0.5000, 0.5000, 0.8719], [0.0000, 0.0000, 0.3589]]}

***

{"formula": "CeDy3Sb3", "functional": "PBE", "state": "relaxed", "formation_energy_uncorrected_ev_per_fu": -6.750, "polymorph_energy_kcal_per_mol_atoms": 0.00, "vol_a3_per_cell": 796, "crystal_system": "cubic", "lattice": [[9.2666, 0.0000, 0.0000], [0.0000, 9.2666, 0.0000], [0.0000, 0.0000, 9.2666]], "species": ["Ce", "Sb", "Sb", "Dy", "Dy", "Dy", "Sb", "Sb", "Sb", "Ce", "Sb", "Dy", "Sb", "Dy", "Sb", "Sb", "Dy", "Sb", "Sb", "Dy", "Dy", "Dy", "Dy", "Dy", "Ce", "Sb", "Ce", "Dy"], "fractional_positions": [[0.0713, 0.5713, 0.9287], [0.4995, 0.7557, 0.3797], [0.7443, 0.6203, 0.9995], [0.3198, 0.8198, 0.6802], [0.3208, 0.1792, 0.8208], [0.8198, 0.6802, 0.3198], [0.6203, 0.9995, 0.7443], [0.9995, 0.7443, 0.6203], [0.8797, 0.0005, 0.2443], [0.4287, 0.4287, 0.4287], [0.3797, 0.4995, 0.7557], [0.6792, 0.6792, 0.6792], [0.1203, 0.5005, 0.2557], [0.1792, 0.8208, 0.3208], [0.2557, 0.1203, 0.5005], [0.0005, 0.2443, 0.8797], [0.1802, 0.1802, 0.1802], [0.2443, 0.8797, 0.0005], [0.7557, 0.3797, 0.4995], [0.8208, 0.3208, 0.1792], [0.5766, 0.0766, 0.4234], [0.6802, 0.3198, 0.8198], [0.4234, 0.5766, 0.0766], [0.0766, 0.4234, 0.5766], [0.5713, 0.9287, 0.0713], [0.5005, 0.2557, 0.1203], [0.9287, 0.0713, 0.5713], [0.9234, 0.9234, 0.9234]]}

***

{"formula": "KNaSeF2", "functional": "PBE", "state": "relaxed", "formation_energy_uncorrected_ev_per_fu": -5.442, "vol_a3_per_cell": 148, "crystal_system": "tetragonal", "lattice": [[4.8848, 0.0000, 0.0000], [0.0000, 6.1936, 0.0000], [0.0000, 0.0000, 4.8848]], "species": ["F", "K", "Se", "Na", "F"], "fractional_positions": [[0.0000, 0.0000, 0.5000], [0.0000, 0.0000, 0.0000], [0.0000, 0.5000, 0.0000], [0.5000, 0.5000, 0.5000], [0.5000, 0.0000, 0.0000]]}

***

{"formula": "AcTmHg6", "functional": "PBE", "state": "relaxed", "vol_a3_per_cell": 210, "formation_energy_mev_per_atom": -330.0, "crystal_system": "orthorhombic", "lattice": [[5.0702, 0.0000, 0.0000], [0.0000, 6.0944, -3.2573], [0.0000, -0.2224, 6.9067]], "species": ["Tm", "Hg", "Hg", "Hg", "Hg", "Ac", "Hg", "Hg"], "fractional_positions": [[0.0000, 0.0896, 0.9104], [0.5000, 0.4101, 0.0853], [0.0000, 0.6004, 0.9456], [0.5000, 0.9278, 0.0722], [0.0000, 0.5909, 0.4091], [0.5000, 0.4118, 0.5882], [0.5000, 0.9147, 0.5899], [0.0000, 0.0544, 0.3996]]}

***

{"formula": "DyErS", "functional": "PBE", "state": "relaxed", "formation_energy_uncorrected_ev_per_fu": -3.823, "polymorph_energy_kcal_per_mol_atoms": 0.00, "vol_a3_per_cell": 76, "crystal_system": "trigonal", "lattice": [[-0.3901, -1.7912, -3.2681], [3.1114, 1.9678, 0.6983], [2.6737, -5.1077, 2.4804]], "species": ["S", "Er", "Dy"], "fractional_positions": [[0.6667, 0.3333, 0.3354], [0.3333, 0.6667, 0.5979], [0.0000, 0.0000, 0.0667]]}

***

{"formula": "Tb2Pm3Hg", "functional": "PBE", "state": "relaxed", "vol_a3_per_cell": 375, "formation_energy_mev_per_atom": -59.9, "crystal_system": "monoclinic", "lattice": [[6.1686, 0.0000, -0.0420], [3.0843, 5.3577, -0.0210], [2.1580, 0.0000, 11.3367]], "species": ["Pm", "Pm", "Hg", "Tb", "Pm", "Pm", "Hg", "Pm", "Tb", "Pm", "Tb", "Tb"], "fractional_positions": [[0.9209, 0.6587, 0.2423], [0.4203, 0.6587, 0.7577], [0.6668, 0.6664, 0.0000], [0.1641, 0.6718, 0.5000], [0.0791, 0.3413, 0.7577], [0.7392, 0.0000, 0.7582], [0.3332, 0.3336, 0.0000], [0.5797, 0.3413, 0.2423], [0.8359, 0.3282, 0.5000], [0.2608, 0.0000, 0.2418], [0.5000, 0.0000, 0.5000], [0.0000, 0.0000, 0.0000]]}

***

{"formula": "TbPr3Pb3", "functional": "PBE", "state": "relaxed", "vol_a3_per_cell": 460, "formation_energy_mev_per_atom": -370.7, "crystal_system": "monoclinic", "lattice": [[-5.3894, -3.9297, -1.9579], [5.5701, -3.4681, -2.2952], [0.4656, -4.8020, 8.5569]], "species": ["Pb", "Pb", "Pb", "Tb", "Pr", "Tb", "Pb", "Pb", "Pr", "Pr", "Pr", "Pr", "Pb", "Pr"], "fractional_positions": [[0.0419, 0.4791, 0.2582], [0.5209, 0.9581, 0.7418], [0.4791, 0.0419, 0.2582], [0.2865, 0.2865, 0.0339], [0.8152, 0.1848, 0.5000], [0.7135, 0.7135, 0.9661], [0.0382, 0.0382, 0.7658], [0.9581, 0.5209, 0.7418], [0.7703, 0.2297, 0.0000], [0.4267, 0.4267, 0.6882], [0.2297, 0.7703, 0.0000], [0.1848, 0.8152, 0.5000], [0.9618, 0.9618, 0.2342], [0.5733, 0.5733, 0.3118]]}

***

{"formula": "Li3U3RhS8", "functional": "PBE", "state": "relaxed", "formation_energy_uncorrected_ev_per_fu": -18.290, "vol_a3_per_cell": 304, "crystal_system": "trigonal", "lattice": [[-2.6510, 6.7759, -1.4957], [0.6322, -5.0244, -5.4366], [-5.4413, -0.9545, 5.3209]], "species": ["U", "S", "S", "S", "Li", "S", "S", "S", "Rh", "Li", "U", "Li", "S", "S", "U"], "fractional_positions": [[0.5000, 0.5000, 0.5000], [0.7644, 0.5288, 0.2589], [0.7546, 0.5092, 0.7643], [0.2306, 0.9949, 0.2590], [0.5000, 0.5000, 0.0000], [0.7643, 0.9949, 0.2590], [0.7694, 0.0051, 0.7410], [0.2454, 0.4908, 0.2357], [0.0000, 0.0000, 0.5000], [0.0000, 0.0000, 0.0000], [0.0000, 0.5000, 0.5000], [0.0000, 0.5000, 0.0000], [0.2357, 0.0051, 0.7410], [0.2356, 0.4712, 0.7411], [0.5000, 0.0000, 0.5000]]}

***

{"formula": "NbIrN2", "functional": "PBE", "state": "relaxed", "formation_energy_uncorrected_ev_per_fu": 2.567, "polymorph_energy_kcal_per_mol_atoms": 17.15, "vol_a3_per_cell": 42, "crystal_system": "cubic", "lattice": [[-2.3073, 2.2496, 2.2206], [-1.4435, 3.3418, -1.4367], [-3.8167, 0.2929, -0.8140]], "species": ["N", "N", "Nb", "Ir"], "fractional_positions": [[0.7500, 0.7500, 0.7500], [0.2500, 0.2500, 0.2500], [0.0000, 0.0000, 0.0000], [0.5000, 0.5000, 0.5000]]}

***

In the order shown, the computed E_tot values come out to -6.2700, -3.0830, -6.3422, -1.5276, -9.1573, -6.6655, -10.4864, -6.0827, -6.3944, -5.9794, -5.9032, -3.7664, -6.4342, -5.8758, -4.3068, -3.6896, -4.7307, -5.5510, -3.0172, -1.6289, -5.7050, -4.0289, -4.6698, -6.5512, -8.2536 eV per atom.